This record from Alexandria via LeMat-Bulk describes LiHgMo2 after structural relaxation. The functional is PBE-GGA.

Lattice parameters (Å, degrees): 3.4540 3.9512 9.3895 90.00 90.00 90.00
Last column: nearest neighbours and their distance in Å.
Space group Immm (No. 71)
One atom of each set of equivalent atoms:
Li  0.0000  0.0000  0.0000 [2 per cell]  4 Hg 2.62, 4 Mo 2.88
Hg  0.0000  0.0000  0.5000 [2 per cell]  4 Li 2.62
Mo  0.0000  0.5000  0.2543 [4 per cell]  4 Mo 2.63, 2 Li 2.88

Summary:
Its crystal system is orthorhombic. As for the final energy: -5.68 eV per atom. As for the total moment: 0.000 μB per atom.